(1)
# RbTmH

An optimized crystal structure of RbTmH (GGA-PBE, Alexandria).

Calculated values
- DFT total energy (eV for the cell shown) = -16.33
- M_tot (Bohr magnetons per cell) = 0.00

a = 3.619 Å, b = 3.615 Å, c = 14.173 Å
α = 90.00°, β = 90.00°, γ = 120.04°
Positions (direct):
Rb (0.613, 0.226, 0.633)
Rb (0.613, 0.226, 0.367)
H (0.609, 0.217, 0.000)
H (0.279, 0.558, 0.500)
Tm (0.276, 0.553, 0.892)
Tm (0.276, 0.553, 0.108)

(2)
# NaZn4Sb3O12

An optimized crystal structure of NaZn4Sb3O12 (GGA-PBE, Alexandria).

Calculated values
- DFT total energy (eV for the cell shown) = -106.33
- M_tot (Bohr magnetons per cell) = 0.00
- formation energy (no corrections) (eV/atom) = -1.403

a = 6.947 Å, b = 6.947 Å, c = 6.947 Å
α = 108.23°, β = 108.23°, γ = 108.23°
Positions (direct):
Sb (0.559, 0.441, 0.000)
Sb (0.000, 0.559, 0.441)
Sb (0.441, 0.000, 0.559)
O (0.107, 0.893, 0.500)
O (0.500, 0.107, 0.893)
O (0.500, 0.332, 0.668)
O (0.043, 0.657, 0.753)
O (0.893, 0.500, 0.107)
O (0.332, 0.668, 0.500)
O (0.343, 0.957, 0.247)
O (0.753, 0.043, 0.657)
O (0.247, 0.343, 0.957)
O (0.957, 0.247, 0.343)
O (0.668, 0.500, 0.332)
O (0.657, 0.753, 0.043)
Zn (0.064, 0.500, 0.936)
Zn (0.936, 0.064, 0.500)
Zn (0.500, 0.500, 0.500)
Zn (0.500, 0.936, 0.064)
Na (0.000, 0.000, 0.000)

(3)
# ZrReIr2

An optimized crystal structure of ZrReIr2 (GGA-PBE, Alexandria).

Calculated values
- DFT total energy (eV for the cell shown) = -39.24
- M_tot (Bohr magnetons per cell) = 0.00
- formation energy (eV per atom) = -0.13
- E above lowest polymorph (eV/atom) = 0.2746

a = 3.416 Å, b = 3.416 Å, c = 5.684 Å
α = 90.00°, β = 90.00°, γ = 90.00°
Positions (direct):
Zr (0.500, 0.500, 0.750)
Ir (0.000, 0.000, 0.017)
Ir (0.000, 0.000, 0.483)
Re (0.500, 0.500, 0.250)

(4)
# K3SmTh3Te8

An optimized crystal structure of K3SmTh3Te8 (GGA-PBE, Alexandria).

Calculated values
- DFT total energy (eV for the cell shown) = -74.05
- M_tot (Bohr magnetons per cell) = 0.00
- formation energy (no corrections) (eV/atom) = -1.243

a = 8.952 Å, b = 8.947 Å, c = 9.966 Å
α = 116.67°, β = 90.00°, γ = 120.02°
Positions (direct):
Te (0.760, 0.521, 0.285)
Te (0.239, 0.975, 0.715)
Te (0.264, 0.025, 0.285)
Te (0.736, 0.975, 0.715)
Te (0.740, 0.480, 0.720)
Te (0.761, 0.025, 0.285)
Te (0.260, 0.520, 0.280)
Te (0.240, 0.479, 0.715)
Th (0.000, 0.500, 0.500)
Th (0.500, 0.500, 0.500)
Th (0.500, 0.000, 0.500)
K (0.500, 0.500, 0.000)
K (0.000, 0.500, 0.000)
K (0.000, 0.000, 0.000)
Sm (0.000, 0.000, 0.500)